# 1
# CdTeAs2

A geometry-optimized CdTeAs2 structure (PBE, Alexandria via LeMat-Bulk).

Calculated values
**D(E_F)**: 0.47 states/eV per atom
**Formation energy from raw total energies**: 33.5 kJ/mol of atoms
**Symmetry**: C2/m
**Relative energy among the computed polymorphs**: 38.9 kJ per mole of atoms

Unit cell a=5.929 b=6.181 c=3.002 alpha=81.33 beta=79.95 gamma=118.89
Positions (direct):
As: 0.000 0.000 0.000
As: 0.000 0.500 0.500
Te: 0.500 0.000 0.500
Cd: 0.500 0.500 0.000

***

# 2
# BeOsRu

A geometry-optimized BeOsRu structure (PBE, Alexandria via LeMat-Bulk).

Calculated values
**D(E_F)**: 0.53 states/eV per atom
**VASP energy**: -8.09 eV/atom
**Symmetry**: Cc

Unit cell a=4.580 b=5.145 c=4.488 alpha=118.73 beta=59.24 gamma=90.00
Positions (direct):
Os: 0.013 0.037 0.479
Os: 0.193 0.537 0.478
Ru: 0.670 0.036 0.167
Ru: 0.847 0.536 0.166
Be: 0.524 0.539 0.825
Be: 0.335 0.039 0.825

***

# 3
# Pm2Th2Sc15

A geometry-optimized Pm2Th2Sc15 structure (PBE, Alexandria via LeMat-Bulk).

Calculated values
**D(E_F)**: 2.00 states/eV per atom
**VASP energy**: -6.05 eV/atom
**Symmetry**: R-3m

Unit cell a=8.162 b=8.162 c=8.162 alpha=80.25 beta=80.25 gamma=80.25
Positions (direct):
Pm: 0.333 0.333 0.333
Pm: 0.667 0.667 0.667
Sc: 0.700 0.300 0.000
Sc: 0.500 0.000 0.000
Sc: 0.636 0.149 0.636
Sc: 0.364 0.364 0.851
Sc: 0.636 0.636 0.149
Sc: 0.300 0.000 0.700
Sc: 0.851 0.364 0.364
Sc: 0.364 0.851 0.364
Sc: 0.000 0.700 0.300
Sc: 0.000 0.300 0.700
Sc: 0.149 0.636 0.636
Sc: 0.000 0.500 0.000
Sc: 0.300 0.700 0.000
Sc: 0.700 0.000 0.300
Sc: 0.000 0.000 0.500
Th: 0.902 0.902 0.902
Th: 0.098 0.098 0.098

***

# 4
# Zr3HRh

A geometry-optimized Zr3HRh structure (PBE, Alexandria via LeMat-Bulk).

Calculated values
**D(E_F)**: 0.99 states/eV per atom
**Symmetry**: Pm-3m
**Relative energy among the computed polymorphs**: 17.0 kJ per mole of atoms

Unit cell a=4.368 b=4.368 c=4.368 alpha=90.00 beta=90.00 gamma=90.00
Positions (direct):
Zr: 0.500 0.000 0.000
Zr: 0.000 0.000 0.500
Zr: 0.000 0.500 0.000
Rh: 0.500 0.500 0.500
H: 0.000 0.000 0.000

***

# 5
# TbTm5Th

A geometry-optimized TbTm5Th structure (PBE, Alexandria via LeMat-Bulk).

Calculated values
**D(E_F)**: 1.36 states/eV per atom
**Symmetry**: Imm2
**Relative energy among the computed polymorphs**: 9.8 kJ per mole of atoms

Unit cell a=10.460 b=6.521 c=6.956 alpha=117.95 beta=138.75 gamma=90.00
Positions (direct):
Th: 0.968 0.500 0.000
Tb: 0.577 0.000 0.000
Tm: 0.676 0.500 0.000
Tm: 0.696 0.770 0.540
Tm: 0.156 0.230 0.460
Tm: 0.228 0.229 0.000
Tm: 0.228 0.771 0.000

***

# 6
# RbYSnO3

A geometry-optimized RbYSnO3 structure (PBE, Alexandria via LeMat-Bulk).

Calculated values
**D(E_F)**: 0.00 states/eV per atom
**Formation energy from raw total energies**: -216.1 kJ/mol of atoms
**Symmetry**: P2_1/m

Unit cell a=3.503 b=7.486 c=9.427 alpha=83.46 beta=90.00 gamma=90.00
Positions (direct):
O: 0.250 0.236 0.809
O: 0.250 0.614 0.896
O: 0.750 0.459 0.612
O: 0.750 0.386 0.104
O: 0.250 0.541 0.388
O: 0.750 0.764 0.191
Rb: 0.750 0.913 0.794
Rb: 0.250 0.087 0.206
Sn: 0.750 0.701 0.429
Sn: 0.250 0.299 0.571
Y: 0.250 0.580 0.135
Y: 0.750 0.420 0.865

***

# 7
# FeTe2Os

A geometry-optimized FeTe2Os structure (PBE, Alexandria via LeMat-Bulk).

Calculated values
**D(E_F)**: 1.22 states/eV per atom
**Formation energy from raw total energies**: 66.5 kJ/mol of atoms
**Symmetry**: R-3m
**Relative energy among the computed polymorphs**: 51.1 kJ per mole of atoms

Unit cell a=8.234 b=8.234 c=8.234 alpha=27.40 beta=27.40 gamma=27.40
Each line ends with the local moment (μB).
Positions (direct):
Te: 0.107 0.107 0.107  0.00
Te: 0.893 0.893 0.893  0.00
Fe: 0.000 0.000 0.000  2.96
Os: 0.500 0.500 0.500  0.11

***

# 8
# Y3HoNi

A geometry-optimized Y3HoNi structure (PBE, Alexandria via LeMat-Bulk).

Calculated values
**D(E_F)**: 1.44 states/eV per atom
**Symmetry**: Cm
**Relative energy among the computed polymorphs**: 0.0 kJ per mole of atoms

Unit cell a=3.633 b=6.326 c=12.634 alpha=88.13 beta=81.73 gamma=73.31
Positions (direct):
Ni: 0.775 0.326 0.123
Ni: 0.433 0.347 0.788
Ho: 0.222 0.559 0.996
Ho: 0.116 0.499 0.270
Y: 0.437 0.615 0.511
Y: 0.097 0.168 0.637
Y: 0.444 0.958 0.154
Y: 0.770 0.705 0.755
Y: 0.991 0.105 0.914
Y: 0.775 0.055 0.394

***

# 9
# LiCuSbAu

A geometry-optimized LiCuSbAu structure (PBE, Alexandria via LeMat-Bulk).

Calculated values
**D(E_F)**: 0.26 states/eV per atom
**Formation energy from raw total energies**: -19.8 kJ/mol of atoms
**Symmetry**: F-43m

Unit cell a=4.576 b=4.576 c=4.576 alpha=60.00 beta=60.00 gamma=60.00
Positions (direct):
Au: 0.500 0.500 0.500
Li: 0.750 0.750 0.750
Cu: 0.250 0.250 0.250
Sb: 0.000 0.000 0.000

***

# 10
# Pr3Cd4Cu2

A geometry-optimized Pr3Cd4Cu2 structure (PBE, Alexandria via LeMat-Bulk).

Calculated values
**D(E_F)**: 0.73 states/eV per atom
**VASP energy**: -3.15 eV/atom
**Symmetry**: C2/m

Unit cell a=4.855 b=6.126 c=8.500 alpha=75.09 beta=73.41 gamma=66.66
Positions (direct):
Pr: 0.324 0.704 0.649
Pr: 0.676 0.296 0.351
Pr: 0.000 0.000 0.000
Cu: 0.590 0.081 0.739
Cu: 0.410 0.919 0.261
Cd: 0.284 0.373 0.060
Cd: 0.965 0.705 0.365
Cd: 0.716 0.627 0.940
Cd: 0.035 0.295 0.635

***

# 11
# BeFeAs2

A geometry-optimized BeFeAs2 structure (PBE, Alexandria via LeMat-Bulk).

Calculated values
**D(E_F)**: 0.59 states/eV per atom
**Symmetry**: Immm
**Relative energy among the computed polymorphs**: 30.9 kJ per mole of atoms

Unit cell a=4.547 b=4.547 c=4.547 alpha=134.34 beta=120.21 gamma=78.34
Each line ends with the local moment (μB).
Positions (direct):
As: 0.031 0.031 0.000  -0.03
As: 0.469 0.469 0.000  -0.03
Fe: 0.750 0.250 0.500  2.34
Be: 0.250 0.750 0.500  0.02

***

# 12
# YFe2Co

A geometry-optimized YFe2Co structure (PBE, Alexandria via LeMat-Bulk).

Calculated values
**D(E_F)**: 1.27 states/eV per atom
**VASP energy**: -7.43 eV/atom
**Symmetry**: Pmmm

Unit cell a=3.040 b=3.087 c=7.320 alpha=65.00 beta=90.00 gamma=90.00
Each line ends with the local moment (μB).
Positions (direct):
Fe: 0.000 0.437 0.562  2.58
Fe: 0.000 0.063 0.938  2.58
Y: 0.500 0.250 0.250  -0.31
Co: 0.500 0.750 0.750  1.79